Version 1
LiSmTl2 | PBE | optimized geometry

Cell: 7.419 7.419 7.419 Å, 90.00 90.00 90.00°
Space group Fm-3m (No. 225)
Symmetry-distinct sites (fractional):
1 Li 0.000 0.000 0.000
2 Sm 0.000 0.000 0.500
3 Tl 0.250 0.250 0.250

---

Version 2
LiSmTl2 | PBE | optimized geometry

Cell: 3.6585 3.6585 27.6634 Å, 90.00 90.00 120.00°
Space group R3m (No. 160, hexagonal axes)
Symmetry-distinct sites (fractional):
1 Li 0.0000 0.0000 0.0000
2 Sm 0.0000 0.0000 0.1668
3 Tl 0.0000 0.0000 0.5942
4 Tl 0.0000 0.0000 0.7399

---

Version 3
LiSmTl2 | PBE | optimized geometry

Cell: 3.631 3.631 7.500 Å, 90.00 90.00 90.00°
Space group P4/mmm (No. 123)
Symmetry-distinct sites (fractional):
1 Li 0.000 0.000 0.000
2 Sm 0.000 0.000 0.500
3 Tl 0.500 0.500 0.213

---

What should be chosen as the most stable of them? Choose version 1.

---

Version 1
Li2SmTl | PBE | optimized geometry

Cell: 3.702 3.702 6.860 Å, 90.00 90.00 90.00°
Space group P4/mmm (No. 123)
Symmetry-distinct sites (fractional):
1 Li 0.000 0.000 0.205
2 Sm 0.500 0.500 0.500
3 Tl 0.500 0.500 0.000

---

Version 2
Li2SmTl | PBE | optimized geometry

Cell: 6.947 6.947 6.947 Å, 90.00 90.00 90.00°
Space group Fm-3m (No. 225)
Symmetry-distinct sites (fractional):
1 Li 0.250 0.250 0.250
2 Sm 0.000 0.000 0.000
3 Tl 0.000 0.000 0.500

---

Version 3
Li2SmTl | PBE | optimized geometry

Cell: 4.644 4.644 4.525 Å, 90.00 90.00 90.00°
Space group P4/mmm (No. 123)
Symmetry-distinct sites (fractional):
1 Li 0.000 0.500 0.000
2 Sm 0.000 0.000 0.500
3 Tl 0.500 0.500 0.500

---

What should be chosen as the most stable of them? Choose version 2.